Computed, not measured: NaGeTe2S6 after structural relaxation at the PBE level of DFT.

Formation energy (no corrections) ... -0.0492 eV per atom
Calculated density ... 3.1 g/cm³
Space group ... C2/c, No. 15

abc: 9.216 8.347 8.347
angles: 84.12 71.10 71.10
Positions (direct):
S: 0.179 0.981 0.811
S: 0.579 0.084 0.645
S: 0.553 0.585 0.683
S: 0.821 0.019 0.189
S: 0.053 0.683 0.585
S: 0.421 0.916 0.355
S: 0.921 0.355 0.916
S: 0.321 0.189 0.019
S: 0.447 0.415 0.317
S: 0.679 0.811 0.981
S: 0.947 0.317 0.415
S: 0.079 0.645 0.084
Na: 0.250 0.872 0.128
Na: 0.750 0.128 0.872
Ge: 0.250 0.245 0.755
Ge: 0.750 0.755 0.245
Te: 0.831 0.598 0.760
Te: 0.169 0.402 0.240
Te: 0.331 0.760 0.598
Te: 0.669 0.240 0.402

=====

Computed, not measured: NaGe2TeS6 after structural relaxation at the PBE level of DFT.

Formation energy (no corrections) ... -0.2522 eV per atom
Calculated density ... 3.3 g/cm³
Space group ... C2/c, No. 15

abc: 6.890 8.629 8.629
angles: 82.49 77.48 77.48
Positions (direct):
S: 0.477 0.569 0.703
S: 0.023 0.297 0.431
S: 0.977 0.703 0.569
S: 0.613 0.104 0.620
S: 0.113 0.620 0.104
S: 0.339 0.214 0.018
S: 0.887 0.380 0.896
S: 0.161 0.982 0.786
S: 0.387 0.896 0.380
S: 0.523 0.431 0.297
S: 0.661 0.786 0.982
S: 0.839 0.018 0.214
Te: 0.750 0.730 0.270
Te: 0.250 0.270 0.730
Na: 0.750 0.100 0.900
Na: 0.250 0.900 0.100
Ge: 0.743 0.212 0.384
Ge: 0.243 0.384 0.212
Ge: 0.257 0.788 0.616
Ge: 0.757 0.616 0.788

=====

Computed, not measured: Na2ThGeS4 after structural relaxation at the PBE level of DFT.

Formation energy (no corrections) ... -1.2695 eV per atom
Calculated density ... 4.2 g/cm³
Space group ... P2/m, No. 10

abc: 4.095 6.995 6.993
angles: 70.98 90.00 90.00
Positions (direct):
S: 0.500 0.729 0.256
S: 0.500 0.271 0.744
S: 0.000 0.276 0.243
S: 0.000 0.724 0.757
Na: 0.500 0.000 0.500
Na: 0.000 0.000 0.000
Ge: 0.500 0.500 0.000
Th: 0.000 0.500 0.500

=====

Computed, not measured: Na2TlGeS4 after structural relaxation at the PBE level of DFT.

Formation energy (no corrections) ... -0.6037 eV per atom
Calculated density ... 3.7 g/cm³
Space group ... I-42m, No. 121

abc: 7.462 6.395 6.395
angles: 68.81 54.31 54.31
Each line ends with the local moment (μB).
Positions (direct):
Na: 0.500 0.750 0.250  0.00
Na: 0.500 0.250 0.750  0.00
Tl: 0.000 0.000 0.000  0.14
S: 0.655 0.491 0.854  0.09
S: 0.000 0.509 0.146  0.09
S: 0.345 0.146 0.509  0.09
S: 0.000 0.854 0.491  0.09
Ge: 0.000 0.500 0.500  0.00

=====

Computed, not measured: NaTlGe2S6 after structural relaxation at the PBE level of DFT.

Formation energy (no corrections) ... -0.3924 eV per atom
Calculated density ... 3.6 g/cm³
Space group ... C2/c, No. 15

abc: 6.545 9.306 9.306
angles: 87.45 72.48 72.48
Positions (direct):
S: 0.038 0.313 0.407
S: 0.538 0.407 0.313
S: 0.865 0.412 0.880
S: 0.962 0.687 0.593
S: 0.462 0.593 0.687
S: 0.394 0.179 0.031
S: 0.894 0.031 0.179
S: 0.606 0.821 0.969
S: 0.135 0.588 0.120
S: 0.365 0.880 0.412
S: 0.635 0.120 0.588
S: 0.106 0.969 0.821
Ge: 0.201 0.803 0.635
Ge: 0.299 0.365 0.197
Ge: 0.701 0.635 0.803
Ge: 0.799 0.197 0.365
Na: 0.750 0.631 0.369
Na: 0.250 0.369 0.631
Tl: 0.750 0.186 0.814
Tl: 0.250 0.814 0.186

=====

Computed, not measured: NaTl2GeS4 after structural relaxation at the PBE level of DFT.

Formation energy (no corrections) ... -0.4701 eV per atom
Calculated density ... 4.7 g/cm³
Space group ... Pmn2_1, No. 31

abc: 6.139 8.779 8.209
angles: 90.00 90.00 90.00
Positions (direct):
S: 0.881 0.763 0.500
S: 0.918 0.324 0.237
S: 0.418 0.676 0.263
S: 0.381 0.237 0.000
S: 0.418 0.676 0.737
S: 0.918 0.324 0.763
S: 0.931 0.967 0.000
S: 0.431 0.033 0.500
Na: 0.948 0.083 0.500
Na: 0.448 0.917 0.000
Ge: 0.012 0.211 0.000
Ge: 0.512 0.789 0.500
Tl: 0.445 0.343 0.309
Tl: 0.945 0.657 0.809
Tl: 0.445 0.343 0.691
Tl: 0.945 0.657 0.191